A plane-wave DFT calculation with PBE+U was carried out for an optimized crystal structure of MgMn6Nb4O18.

Properties
The calculation puts the energy above the most stable polymorph in this dataset at 9.16 eV per formula unit. For the total magnetic moment, the calculation gives 10.00 Bohr magnetons per cell. As for the total DFT energy (no corrections): -227.907 eV per cell.

a b c (Å): 5.2099 5.2227 14.8805
angles (deg): 79.93 89.72 60.22
With the nearest neighbours (Å) after each atom.
Space group P1 (No. 1)
Unique sites:
Mg 0.0000 0.0000 0.0000 x1  6 O 2.02-2.07
Mn 0.3324 0.3380 0.9943 x1  6 O 2.25-2.28
Mn 0.5245 0.9779 0.5197 x1  6 O 2.10-2.21
Mn 0.6184 0.7689 0.8415 x1  6 O 1.99-2.07
Mn 0.6842 0.6319 0.0507 x1  3 O 2.04-2.05
Mn 0.7871 0.4354 0.3436 x1  5 O 1.91-2.07
Mn 0.8609 0.2984 0.5344 x1  6 O 2.04-2.19
Nb 0.0564 0.8815 0.1806 x1  6 O 1.99-2.06
Nb 0.1476 0.7373 0.3811 x1  6 O 1.94-2.17
Nb 0.2364 0.5486 0.6619 x1  3 O 1.88-1.89
Nb 0.9524 0.1163 0.8140 x1  3 O 1.91-1.92
O 0.0288 0.5668 0.2773 x1  1 Mn 1.91, 1 Nb 2.05
O 0.0573 0.2207 0.0941 x1  1 Nb 2.00, 1 Mn 2.05, 1 Mg 2.07
O 0.1352 0.0566 0.4348 x1  1 Nb 1.94, 2 Mn 2.14-2.16
O 0.2218 0.2720 0.5985 x1  1 Nb 1.89, 2 Mn 2.04-2.10
O 0.2724 0.8126 0.7629 x1  1 Nb 1.91, 1 Mn 2.05
O 0.3076 0.0109 0.9177 x1  1 Mn 1.99, 1 Mg 2.03, 1 Nb 2.20
O 0.3119 0.6295 0.0928 x1  1 Nb 2.01, 1 Mn 2.04, 1 Mg 2.06
O 0.4114 0.7391 0.2756 x1  1 Mn 1.94, 2 Nb 2.06-2.08
O 0.5176 0.3687 0.4361 x1  1 Nb 1.97, 3 Mn 2.07-2.18
O 0.5268 0.5998 0.5983 x1  1 Nb 1.89, 2 Mn 2.05-2.11
O 0.5965 0.1483 0.7638 x1  1 Nb 1.92, 1 Mn 2.06
O 0.6869 0.3848 0.9182 x1  1 Mn 1.99, 1 Mg 2.02
O 0.7207 0.9634 0.0944 x1  1 Nb 1.99, 1 Mn 2.04, 1 Mg 2.07
O 0.8285 0.6768 0.4339 x1  1 Nb 1.98, 3 Mn 2.07-2.20
O 0.8514 0.1267 0.2780 x1  1 Mn 1.92, 1 Nb 2.04
O 0.8980 0.9002 0.5994 x1  1 Nb 1.88, 2 Mn 2.05-2.10
O 0.9301 0.4898 0.7643 x1  1 Nb 1.91, 1 Mn 2.07
O 0.9360 0.7640 0.9174 x1  1 Mn 2.00, 1 Mg 2.02, 1 Nb 2.22